[1]
CaZr2Ru: relaxed, PBE-GGA.

## Properties
For the density of states at the Fermi level, the calculation gives 1.1793 states/eV per atom. For the formation energy, the calculation gives 0.305 eV/atom. As for the energy above the most stable polymorph in this dataset: 399 meV/atom.

Structure (CIF):
```
data_CaZr2Ru
_symmetry_space_group_name_H-M 'F -4 3 m'
_symmetry_Int_Tables_number 216
_symmetry_space_group_name_Hall 'F -4 2 3'
_cell_length_a 6.984
_cell_length_b 6.984
_cell_length_c 6.984
_cell_angle_alpha 90.00
_cell_angle_beta 90.00
_cell_angle_gamma 90.00
loop_
_atom_site_label
_atom_site_fract_x
_atom_site_fract_y
_atom_site_fract_z
Ca1 0.000 0.000 0.000
Zr1 0.000 0.000 0.500
Zr2 0.250 0.250 0.750
Ru1 0.250 0.250 0.250
```


[2]
CaZrRu2: relaxed, PBE-GGA.

## Properties
For the density of states at the Fermi level, the calculation gives 1.3716 states/eV per atom. For the formation energy, the calculation gives 0.414 eV/atom. As for the energy above the most stable polymorph in this dataset: 572 meV/atom.

Structure (CIF):
```
data_CaZrRu2
_symmetry_space_group_name_H-M 'I -4 2 d'
_symmetry_Int_Tables_number 122
_symmetry_space_group_name_Hall 'I -4 2bw'
_cell_length_a 7.306
_cell_length_b 7.306
_cell_length_c 6.020
_cell_angle_alpha 90.00
_cell_angle_beta 90.00
_cell_angle_gamma 90.00
loop_
_atom_site_label
_atom_site_fract_x
_atom_site_fract_y
_atom_site_fract_z
Ca1 0.000 0.000 0.000
Zr1 0.000 0.000 0.500
Ru1 0.224 0.250 0.625
```


[3]
CaZrRu: relaxed, PBE-GGA.

## Properties
For the density of states at the Fermi level, the calculation gives 0.6641 states/eV per atom. For the formation energy, the calculation gives 0.096 eV/atom. As for the energy above the most stable polymorph in this dataset: 248 meV/atom.

Structure (CIF):
```
data_CaZrRu
_symmetry_space_group_name_H-M 'P 3 m 1'
_symmetry_Int_Tables_number 156
_cell_length_a 3.5588
_cell_length_b 3.5588
_cell_length_c 6.7941
_cell_angle_alpha 90.00
_cell_angle_beta 90.00
_cell_angle_gamma 120.00
loop_
_symmetry_equiv_pos_as_xyz
'x,y,z'
'-y,x-y,z'
'-x+y,-x,z'
'-y,-x,z'
'-x+y,y,z'
'x,x-y,z'
loop_
_atom_site_label
_atom_site_fract_x
_atom_site_fract_y
_atom_site_fract_z
Ca1 0.0000 0.0000 0.0000
Zr1 0.3333 0.6667 0.5406
Ru1 0.6667 0.3333 0.3151
```


[4]
CaZr2Ru: relaxed, PBE-GGA.

## Properties
For the density of states at the Fermi level, the calculation gives 1.2977 states/eV per atom. For the formation energy, the calculation gives 0.287 eV/atom. As for the energy above the most stable polymorph in this dataset: 380 meV/atom.

Structure (CIF):
```
data_CaZr2Ru
_symmetry_space_group_name_H-M 'P m m m'
_symmetry_Int_Tables_number 47
_cell_length_a 3.606
_cell_length_b 4.846
_cell_length_c 4.855
_cell_angle_alpha 90.00
_cell_angle_beta 90.00
_cell_angle_gamma 90.00
loop_
_symmetry_equiv_pos_as_xyz
'x,y,z'
'-x,-y,-z'
'-x,-y,z'
'x,y,-z'
'x,-y,-z'
'-x,y,z'
'-x,y,-z'
'x,-y,z'
loop_
_atom_site_label
_atom_site_fract_x
_atom_site_fract_y
_atom_site_fract_z
Ca1 0.000 0.000 0.000
Zr1 0.000 0.500 0.500
Zr2 0.500 0.500 0.000
Ru1 0.500 0.000 0.500
```


[5]
CaZrRu4: relaxed, PBE-GGA.

## Properties
For the density of states at the Fermi level, the calculation gives 1.1614 states/eV per atom. For the formation energy, the calculation gives -0.104 eV/atom.

Structure (CIF):
```
data_CaZrRu4
_symmetry_space_group_name_H-M 'F -4 3 m'
_symmetry_Int_Tables_number 216
_symmetry_space_group_name_Hall 'F -4 2 3'
_cell_length_a 7.450
_cell_length_b 7.450
_cell_length_c 7.450
_cell_angle_alpha 90.00
_cell_angle_beta 90.00
_cell_angle_gamma 90.00
loop_
_atom_site_label
_atom_site_fract_x
_atom_site_fract_y
_atom_site_fract_z
Ca1 0.000 0.000 0.000
Zr1 0.250 0.250 0.250
Ru1 0.125 0.125 0.625
```


[6]
CaZr2Ru: relaxed, PBE-GGA.

## Properties
For the density of states at the Fermi level, the calculation gives 0.5128 states/eV per atom. For the formation energy, the calculation gives -0.094 eV/atom. As for the energy above the most stable polymorph in this dataset: 0 meV/atom.

Structure (CIF):
```
data_CaZr2Ru
_symmetry_space_group_name_H-M 'P 4 m m'
_symmetry_Int_Tables_number 99
_cell_length_a 3.336
_cell_length_b 3.336
_cell_length_c 8.190
_cell_angle_alpha 90.00
_cell_angle_beta 90.00
_cell_angle_gamma 90.00
loop_
_symmetry_equiv_pos_as_xyz
'x,y,z'
'-y,x,z'
'-x,-y,z'
'y,-x,z'
'-x,y,z'
'y,x,z'
'x,-y,z'
'-y,-x,z'
loop_
_atom_site_label
_atom_site_fract_x
_atom_site_fract_y
_atom_site_fract_z
Ca1 0.000 0.000 0.000
Zr1 0.000 0.000 0.410
Zr2 0.500 0.500 0.658
Ru1 0.500 0.500 0.241
```


[7]
CaZrRu2: relaxed, PBE-GGA.

## Properties
For the density of states at the Fermi level, the calculation gives 0.8053 states/eV per atom. For the formation energy, the calculation gives -0.068 eV/atom. As for the energy above the most stable polymorph in this dataset: 89 meV/atom.

Structure (CIF):
```
data_CaZrRu2
_symmetry_space_group_name_H-M 'F m -3 m'
_symmetry_Int_Tables_number 225
_symmetry_space_group_name_Hall '-F 4 2 3'
_cell_length_a 6.631
_cell_length_b 6.631
_cell_length_c 6.631
_cell_angle_alpha 90.00
_cell_angle_beta 90.00
_cell_angle_gamma 90.00
loop_
_atom_site_label
_atom_site_fract_x
_atom_site_fract_y
_atom_site_fract_z
Ca1 0.000 0.000 0.000
Zr1 0.000 0.000 0.500
Ru1 0.250 0.250 0.250
```


[8]
CaZr2Ru: relaxed, PBE-GGA.

## Properties
For the density of states at the Fermi level, the calculation gives 1.3975 states/eV per atom. For the formation energy, the calculation gives 0.320 eV/atom. As for the energy above the most stable polymorph in this dataset: 413 meV/atom.

Structure (CIF):
```
data_CaZr2Ru
_symmetry_space_group_name_H-M 'P -1'
_symmetry_Int_Tables_number 2
_cell_length_a 3.111
_cell_length_b 5.510
_cell_length_c 5.804
_cell_angle_alpha 116.07
_cell_angle_beta 102.11
_cell_angle_gamma 97.18
loop_
_symmetry_equiv_pos_as_xyz
'x,y,z'
'-x,-y,-z'
loop_
_atom_site_label
_atom_site_fract_x
_atom_site_fract_y
_atom_site_fract_z
Ca1 0.000 0.000 0.000
Zr1 0.000 0.500 0.500
Zr2 0.500 0.000 0.500
Ru1 0.500 0.500 0.000
```